An optimized crystal structure of Li8ZnSn6. Source: the Alexandria database, functional PBE. Values from VASP.

ΔH_f (0 K): -0.22 eV per atom
Magnetization: 0.00 μB per cell
Fermi-level density of states: 5.35 states/eV per cell

Geometry as Quantum ESPRESSO input:
```
&SYSTEM
  ibrav = 0, nat = 15, ntyp = 3
/
ATOMIC_SPECIES
Sn 118.71 Sn.upf
Li 6.94 Li.upf
Zn 65.41 Zn.upf
ATOMIC_POSITIONS angstrom
Sn -10.5904 8.3918 -8.9604
Sn -2.6387 1.4050 -0.7500
Sn -5.3492 2.1888 -2.7657
Sn -7.8799 7.6081 -6.9446
Sn -2.1619 2.0472 -4.1241
Sn -11.0673 7.7497 -5.5863
Li -3.9618 3.8490 -5.4209
Li -8.3855 4.8038 -7.1603
Li -6.8236 3.3333 -5.1826
Li -7.8035 3.7438 -2.4652
Li -6.4055 6.4636 -4.5278
Li -5.4256 6.0530 -7.2452
Li -4.8436 4.9931 -2.5501
Li -9.2674 5.9479 -4.2894
Zn 0.0000 0.0000 0.0000
CELL_PARAMETERS angstrom
-2.7728 1.8640 -7.1395
-7.7151 1.2460 -1.0298
-2.7412 6.6869 -1.5411
```

=====

An optimized crystal structure of CeAuN. Source: the Alexandria database, functional PBE. Values from VASP.

Magnetization: 0.00 μB per cell
Fermi-level density of states: 0.19 states/eV per cell
ΔE_f (raw): -103.49 kJ per mole of atoms

Geometry as Quantum ESPRESSO input:
```
&SYSTEM
  ibrav = 0, nat = 6, ntyp = 3
/
ATOMIC_SPECIES
Au 196.97 Au.upf
Ce 140.12 Ce.upf
N 14.01 N.upf
ATOMIC_POSITIONS angstrom
Au 2.9765 0.9921 0.5935
Au 0.9929 2.9754 6.7654
Ce 0.9924 2.9761 2.5588
Ce 2.9770 0.9915 4.8001
N 2.9768 2.9759 3.6795
N 0.9926 0.9916 3.6794
CELL_PARAMETERS angstrom
3.9686 0.0000 -0.0004
0.0000 3.9686 0.0006
0.0008 -0.0011 7.3587
```

=====

An optimized crystal structure of La4BiSb2I. Source: the Alexandria database, functional PBE. Values from VASP.

Magnetization: 0.00 μB per cell
Fermi-level density of states: 3.86 states/eV per cell
ΔE_f (raw): -116.73 kJ per mole of atoms

Geometry as Quantum ESPRESSO input:
```
&SYSTEM
  ibrav = 0, nat = 8, ntyp = 4
/
ATOMIC_SPECIES
I 126.90 I.upf
La 138.91 La.upf
Sb 121.76 Sb.upf
Bi 208.98 Bi.upf
ATOMIC_POSITIONS angstrom
I 3.5540 3.3131 4.4193
La -1.7248 1.1904 5.2339
La 2.8621 0.9942 6.7977
La 0.8128 5.1772 5.1428
La 5.3997 4.9810 6.7066
Sb 1.6636 7.2789 2.9084
Sb -0.8848 3.4121 3.0052
Bi 1.0056 -0.5538 4.5160
CELL_PARAMETERS angstrom
-3.4332 -0.4547 3.1019
5.4444 -0.6528 5.9301
1.6636 7.2789 2.9084
```

=====

An optimized crystal structure of Be2ReSb. Source: the Alexandria database, functional PBE. Values from VASP.

Magnetization: 0.00 μB per cell
Fermi-level density of states: 2.03 states/eV per cell
ΔE_f (raw): 70.26 kJ per mole of atoms

Geometry as Quantum ESPRESSO input:
```
&SYSTEM
  ibrav = 0, nat = 4, ntyp = 3
/
ATOMIC_SPECIES
Re 186.21 Re.upf
Sb 121.76 Sb.upf
Be 9.01 Be.upf
ATOMIC_POSITIONS angstrom
Re 1.0843 -1.2001 2.6177
Sb -1.3566 -1.3327 1.6826
Be 0.0000 0.0000 0.0000
Be -2.3167 1.0146 1.8082
CELL_PARAMETERS angstrom
-4.7576 0.8820 0.8730
2.0444 -3.5474 2.4921
0.1243 1.1472 2.7433
```

=====

An optimized crystal structure of KCaHg. Source: the Alexandria database, functional PBE. Values from VASP.

ΔH_f (0 K): -0.12 eV per atom
Magnetization: 0.00 μB per cell
Fermi-level density of states: 3.25 states/eV per cell

Geometry as Quantum ESPRESSO input:
```
&SYSTEM
  ibrav = 0, nat = 3, ntyp = 3
/
ATOMIC_SPECIES
Ca 40.08 Ca.upf
Hg 200.59 Hg.upf
K 39.10 K.upf
ATOMIC_POSITIONS angstrom
Ca 0.3905 -0.3789 -0.1731
Hg 0.8460 -3.3139 0.7864
K 1.7343 -4.9003 -2.2507
CELL_PARAMETERS angstrom
-0.0138 -1.7552 3.8109
-2.6441 -1.3757 -2.9529
5.6287 -5.4621 -2.4954
```

=====

An optimized crystal structure of Rb2ZnGeCl6. Source: the Alexandria database, functional PBE. Values from VASP.

Magnetization: 0.00 μB per cell
Fermi-level density of states: 0.00 states/eV per cell
ΔE_f (raw): -133.51 kJ per mole of atoms

Geometry as Quantum ESPRESSO input:
```
&SYSTEM
  ibrav = 0, nat = 10, ntyp = 4
/
ATOMIC_SPECIES
Cl 35.45 Cl.upf
Rb 85.47 Rb.upf
Zn 65.41 Zn.upf
Ge 72.64 Ge.upf
ATOMIC_POSITIONS angstrom
Cl 2.7083 -3.1182 8.0344
Cl 0.0528 -4.9150 4.1762
Cl 1.2140 -9.3928 6.3917
Cl -0.9440 -5.3846 8.5080
Cl 4.9141 -5.9840 5.4078
Cl 2.8222 -7.0490 9.8405
Rb 0.1855 -0.8647 8.1880
Rb 1.8407 -6.1133 6.7545
Zn 0.9245 -3.0667 3.3527
Ge 2.8446 -9.4166 9.5898
CELL_PARAMETERS angstrom
-1.8604 -6.7304 2.7781
5.3101 -4.4889 2.8554
0.0960 -0.5992 8.7698
```